Entry 1:
The following is a PBE calculation of a relaxed PrGaCl2 crystal, from Alexandria.

abc: 4.053 4.053 9.494
angles: 77.68 77.68 60.00
Element x y z (fractional)
Cl (0.100, 0.100, 0.701)
Cl (0.900, 0.900, 0.299)
Pr (0.000, 0.000, 0.000)
Ga (0.500, 0.500, 0.500)

Output
* uncorrected energy: -3.79 eV/atom



Entry 2:
The following is a PBE calculation of a relaxed BeHgOs2 crystal, from Alexandria.

abc: 4.110 3.809 3.809
angles: 90.00 90.00 90.00
Last column: magnetic moment on the atom in μB.
Element x y z (fractional)
Os (0.000, 0.000, 0.000)  0.29
Os (0.000, 0.500, 0.500)  0.29
Hg (0.500, 0.000, 0.500)  0.01
Be (0.500, 0.500, 0.000)  0.00

Output
* ΔH_f (0 K): 895 meV/atom